No. 1
DFT (PBE-GGA) results for crystalline Cs2BaBi2O6 at its relaxed geometry.

Properties
Space-group type ... C2/m, No. 12
Energy relative to the elements, uncorrected ... -1318 meV/atom

abc: 7.034 6.887 8.235
angles: 117.08 90.00 120.71
Positions (direct):
1 Cs 0.705 0.410 0.178
2 Cs 0.295 0.590 0.822
3 Ba 0.500 0.000 0.500
4 Bi 0.957 0.914 0.784
5 Bi 0.043 0.086 0.216
6 O 0.757 0.515 0.597
7 O 0.188 0.902 0.234
8 O 0.286 0.098 0.766
9 O 0.812 0.098 0.766
10 O 0.714 0.902 0.234
11 O 0.243 0.485 0.403

---

No. 2
DFT (PBE-GGA) results for crystalline CsBaBiO3 at its relaxed geometry.

Properties
Space-group type ... C2/m, No. 12
Energy relative to the elements, uncorrected ... -1690 meV/atom

abc: 4.567 7.243 10.000
angles: 110.88 90.00 108.38
Positions (direct):
1 Cs 0.337 0.674 0.866
2 Cs 0.663 0.326 0.134
3 Ba 0.641 0.282 0.537
4 Ba 0.359 0.718 0.463
5 Bi 0.982 0.963 0.226
6 Bi 0.018 0.037 0.774
7 O 0.881 0.763 0.340
8 O 0.851 0.702 0.649
9 O 0.490 0.980 0.260
10 O 0.149 0.298 0.351
11 O 0.510 0.020 0.740
12 O 0.119 0.237 0.660

---

No. 3
DFT (PBE-GGA) results for crystalline Cs3BaBi2O6 at its relaxed geometry.

Properties
Space-group type ... P-3m1, No. 164
Energy relative to the elements, uncorrected ... -1467 meV/atom

abc: 6.880 6.880 8.041
angles: 90.00 90.00 120.00
Positions (direct):
1 Cs 0.333 0.667 0.644
2 Cs 0.667 0.333 0.356
3 Cs 0.000 0.000 0.000
4 Ba 0.000 0.000 0.500
5 Bi 0.667 0.333 0.816
6 Bi 0.333 0.667 0.184
7 O 0.644 0.822 0.299
8 O 0.178 0.356 0.299
9 O 0.178 0.822 0.299
10 O 0.822 0.644 0.701
11 O 0.356 0.178 0.701
12 O 0.822 0.178 0.701

---

No. 4
DFT (PBE-GGA) results for crystalline Cs2BaBiO4 at its relaxed geometry.

Properties
Space-group type ... Fddd, No. 70
Energy relative to the elements, uncorrected ... -1264 meV/atom

abc: 6.876 7.959 13.478
angles: 83.67 75.22 64.41
Positions (direct):
1 Cs 0.206 0.000 0.589
2 Cs 0.794 0.000 0.411
3 Cs 0.544 0.500 0.911
4 Cs 0.956 0.500 0.089
5 Ba 0.750 0.500 0.500
6 Ba 0.000 0.000 0.000
7 Bi 0.250 0.500 0.500
8 Bi 0.500 0.000 0.000
9 O 0.357 0.805 0.063
10 O 0.225 0.195 0.937
11 O 0.838 0.805 0.937
12 O 0.580 0.195 0.063
13 O 0.393 0.695 0.437
14 O 0.525 0.305 0.563
15 O 0.912 0.695 0.563
16 O 0.170 0.305 0.437

---

No. 5
DFT (PBE-GGA) results for crystalline CsBa2BiO at its relaxed geometry.

Properties
Space-group type ... P4/mmm, No. 123
Energy relative to the elements, uncorrected ... -1279 meV/atom

abc: 5.592 5.592 5.726
angles: 90.00 90.00 90.00
Positions (direct):
1 Cs 0.000 0.000 0.500
2 Bi 0.500 0.500 0.500
3 O 0.000 0.000 0.000
4 Ba 0.000 0.500 0.000
5 Ba 0.500 0.000 0.000

---

No. 6
DFT (PBE-GGA) results for crystalline Cs2BaBi2Pb at its relaxed geometry.

Properties
Space-group type ... Pmc2_1, No. 26
ΔH_f (0 K) ... -0.507 eV per atom

abc: 5.130 9.981 10.966
angles: 90.00 90.00 90.00
Positions (direct):
1 Cs 0.500 0.054 0.087
2 Cs 0.000 0.373 0.188
3 Cs 0.500 0.554 0.913
4 Cs 0.000 0.873 0.812
5 Ba 0.000 0.957 0.441
6 Ba 0.000 0.457 0.559
7 Bi 0.000 0.275 0.835
8 Bi 0.500 0.242 0.427
9 Bi 0.000 0.775 0.165
10 Bi 0.500 0.742 0.573
11 Pb 0.500 0.144 0.696
12 Pb 0.500 0.644 0.304

---

No. 7
DFT (PBE-GGA) results for crystalline CsRbBaBi at its relaxed geometry.

Properties
Space-group type ... F-43m, No. 216
ΔH_f (0 K) ... -0.233 eV per atom

abc: 6.458 6.458 6.458
angles: 60.00 60.00 60.00
Positions (direct):
1 Cs 0.750 0.750 0.750
2 Bi 0.250 0.250 0.250
3 Rb 0.000 0.000 0.000
4 Ba 0.500 0.500 0.500

---

No. 8
DFT (PBE-GGA) results for crystalline Cs2RbBaBi at its relaxed geometry.

Properties
Space-group type ... P4/mmm, No. 123
ΔH_f (0 K) ... -0.215 eV per atom

abc: 7.752 7.752 6.901
angles: 90.00 90.00 90.00
Positions (direct):
1 Cs 0.000 0.500 0.000
2 Cs 0.500 0.000 0.000
3 Bi 0.000 0.000 0.000
4 Rb 0.500 0.500 0.500
5 Ba 0.000 0.000 0.500

---

| no. | E_tot (eV for the cell shown) | calculated volume (A^3/atom) |
| --- | --- | --- |
| 1 | -55.644 | 26.4 |
| 2 | -63.345 | 24.2 |
| 3 | -59.596 | 27.5 |
| 4 | -74.918 | 40.2 |
| 5 | -19.935 | 35.8 |
| 6 | -36.287 | 46.8 |
| 7 | -8.559 | 47.6 |
| 8 | -9.554 | 82.9 |